Ag2SO5 after structural relaxation, computed with PBE.

Computed properties:
**Uncorrected energy**: -4.828 eV per atom
**Energy relative to the lowest polymorph listed for this composition**: 0.48 eV/f.u.
**Space group**: I4mm, No. 107
**Calculated volume**: 16.01 A^3/atom
**M_tot**: 0.000 μB/atom

Lattice parameters (Å, degrees): 5.561 5.561 5.561 115.84 115.84 97.38
Element x y z (fractional)
Ag: 0.000 0.500 0.500
Ag: 0.500 0.000 0.500
S: 0.417 0.417 0.000
O: 0.218 0.218 0.000
O: 0.293 0.293 0.621
O: 0.293 0.672 0.000
O: 0.672 0.293 0.000
O: 0.672 0.672 0.379